Entry 1:
The following is a DFT calculation (PBE-GGA) of a geometry-optimized CsTmZnTe3 structure.

It has space group P2_1/m (No. 11), with a = 4.4036 Å, b = 11.6391 Å, c = 8.9417 Å, α = 90.00°, β = 104.24° and γ = 90.00°. The distinct sites, in fractional coordinates, are Cs at (0.2487, 0.2500, 0.4960), Tm at (0.5000, 0.0000, 0.0000), Zn at (0.0353, 0.7500, 0.0722), Te at (0.1170, 0.5562, 0.2348) and Te at (0.4399, 0.7500, 0.8806).

The density of states at the Fermi level is 0.00 states/eV/f.u. The uncorrected formation energy is -1.0888 eV per atom.

Entry 2:
The following is a DFT calculation (PBE-GGA) of a geometry-optimized Dy4Ga2Hg structure.

It has space group R-3m (No. 166, hexagonal axes), with a = 5.0762 Å, b = 5.0762 Å, c = 24.6058 Å, α = 90.00°, β = 90.00° and γ = 120.00°. The distinct sites, in fractional coordinates, are Dy at (0.0000, 0.0000, 0.1182), Dy at (0.0000, 0.0000, 0.3706), Ga at (0.0000, 0.0000, 0.2502) and Hg at (0.0000, 0.0000, 0.5000).

Its formation energy is -2.89 eV per formula unit. The calculation puts the relative energy among the computed polymorphs at 0 meV/atom. The density of states at the Fermi level is 5.92 states/eV/f.u.

Entry 3:
The following is a DFT calculation (PBE-GGA) of a geometry-optimized CsNaRu3 structure.

It has space group Pm-3m (No. 221), with a = 5.0071 Å, b = 5.0071 Å, c = 5.0071 Å, α = 90.00°, β = 90.00° and γ = 90.00°. The distinct sites, in fractional coordinates, are Cs at (0.0000, 0.0000, 0.0000), Na at (0.5000, 0.5000, 0.5000) and Ru at (0.0000, 0.5000, 0.5000).

Its formation energy is 12.08 eV per formula unit. The calculation puts the relative energy among the computed polymorphs at 0 meV/atom. The density of states at the Fermi level is 10.68 states/eV/f.u.

Entry 4:
The following is a DFT calculation (PBE-GGA) of a geometry-optimized BaMgIr3 structure.

It has space group Pm-3m (No. 221), with a = 4.7779 Å, b = 4.7779 Å, c = 4.7779 Å, α = 90.00°, β = 90.00° and γ = 90.00°. The distinct sites, in fractional coordinates, are Ba at (0.0000, 0.0000, 0.0000), Mg at (0.5000, 0.5000, 0.5000) and Ir at (0.0000, 0.5000, 0.5000).

Its formation energy is 4.79 eV per formula unit. The calculation puts the relative energy among the computed polymorphs at 0 meV/atom. The density of states at the Fermi level is 5.00 states/eV/f.u.

Entry 5:
The following is a DFT calculation (PBE-GGA) of a geometry-optimized BaCuOs2 structure.

It has space group P4/mmm (No. 123), with a = 3.2024 Å, b = 3.2024 Å, c = 7.6999 Å, α = 90.00°, β = 90.00° and γ = 90.00°. The distinct sites, in fractional coordinates, are Ba at (0.0000, 0.0000, 0.0000), Cu at (0.0000, 0.0000, 0.5000) and Os at (0.5000, 0.5000, 0.3419).

Its formation energy is 4.12 eV per formula unit. The calculation puts the relative energy among the computed polymorphs at 826 meV/atom. The density of states at the Fermi level is 5.02 states/eV/f.u.

Entry 6:
The following is a DFT calculation (PBE-GGA) of a geometry-optimized TbDy2Pb2 structure.

It has space group Cmc2_1 (No. 36), with a = 4.9736 Å, b = 18.5308 Å, c = 6.5534 Å, α = 90.00°, β = 90.00° and γ = 90.00°. The distinct sites, in fractional coordinates, are Tb at (0.0000, 0.1066, 0.0000), Dy at (0.0000, 0.3121, 0.9970), Dy at (0.0000, 0.4995, 0.2492), Pb at (0.0000, 0.0750, 0.4992) and Pb at (0.0000, 0.3002, 0.4965).

Its formation energy is -2.21 eV per formula unit. The density of states at the Fermi level is 3.19 states/eV/f.u.

Entry 7:
The following is a DFT calculation (PBE-GGA) of a geometry-optimized Li8CuPd6 structure.

It has space group R-3 (No. 148, hexagonal axes), with a = 6.8927 Å, b = 6.8927 Å, c = 15.8675 Å, α = 90.00°, β = 90.00° and γ = 120.00°. The distinct sites, in fractional coordinates, are Li at (0.0000, 0.0000, 0.0916), Li at (0.0562, 0.7991, 0.6287), Cu at (0.0000, 0.0000, 0.5000) and Pd at (0.0320, 0.2555, 0.2102).

Its formation energy is -4.59 eV per formula unit. The density of states at the Fermi level is 2.87 states/eV/f.u.

Entry 8:
The following is a DFT calculation (PBE-GGA) of a geometry-optimized CeAl3Rh structure.

It has space group P6_3/mmc (No. 194), with a = 6.2581 Å, b = 6.2581 Å, c = 5.6123 Å, α = 90.00°, β = 90.00° and γ = 120.00°. The distinct sites, in fractional coordinates, are Ce at (0.3333, 0.6667, 0.2500), Al at (0.1892, 0.3784, 0.7500) and Rh at (0.0000, 0.0000, 0.0000).

Its formation energy is -3.15 eV per formula unit. The calculation puts the relative energy among the computed polymorphs at 66 meV/atom. The density of states at the Fermi level is 4.16 states/eV/f.u.

Entry 9:
The following is a DFT calculation (PBE-GGA) of a geometry-optimized TlHgClF2 structure.

It has space group P4/mmm (No. 123), with a = 4.6373 Å, b = 4.6373 Å, c = 5.3437 Å, α = 90.00°, β = 90.00° and γ = 90.00°. The distinct sites, in fractional coordinates, are Tl at (0.0000, 0.0000, 0.0000), Hg at (0.5000, 0.5000, 0.5000), Cl at (0.5000, 0.5000, 0.0000) and F at (0.0000, 0.5000, 0.5000).

The uncorrected formation energy is -1.2570 eV per atom.

Entry 10:
The following is a DFT calculation (PBE-GGA) of a geometry-optimized LiBeFe2 structure.

It has space group P4/mmm (No. 123), with a = 3.5189 Å, b = 3.5189 Å, c = 3.4015 Å, α = 90.00°, β = 90.00° and γ = 90.00°. The distinct sites, in fractional coordinates, are Li at (0.0000, 0.0000, 0.0000), Be at (0.5000, 0.5000, 0.0000) and Fe at (0.0000, 0.5000, 0.5000).

Its formation energy is 0.66 eV per formula unit. The density of states at the Fermi level is 2.79 states/eV/f.u.

Entry 11:
The following is a DFT calculation (PBE-GGA) of a geometry-optimized Cs2CaSe2 structure.

It has space group Ibam (No. 72), with a = 8.0972 Å, b = 14.4254 Å, c = 7.3964 Å, α = 90.00°, β = 90.00° and γ = 90.00°. The distinct sites, in fractional coordinates, are Cs at (0.1431, 0.1495, 0.0000), Ca at (0.0000, 0.5000, 0.2500) and Se at (0.1982, 0.3982, 0.0000).

The calculation puts the relative energy among the computed polymorphs at 0 meV/atom. The density of states at the Fermi level is 0.00 states/eV/f.u. The uncorrected formation energy is -1.4334 eV per atom.

Entry 12:
The following is a DFT calculation (PBE-GGA) of a geometry-optimized ZnHgBr2 structure.

It has space group P4mm (No. 99), with a = 3.5791 Å, b = 3.5791 Å, c = 8.1832 Å, α = 90.00°, β = 90.00° and γ = 90.00°. The distinct sites, in fractional coordinates, are Zn at (0.0000, 0.0000, 0.0000), Hg at (0.5000, 0.5000, 0.7368), Br at (0.0000, 0.0000, 0.5316) and Br at (0.5000, 0.5000, 0.1546).

The calculation puts the relative energy among the computed polymorphs at 585 meV/atom. The density of states at the Fermi level is 3.39 states/eV/f.u. The uncorrected formation energy is -0.0421 eV per atom.

Entry 13:
The following is a DFT calculation (PBE-GGA) of a geometry-optimized Mn4V9Ru11 structure.

It has space group Cmmm (No. 65), with a = 12.0396 Å, b = 18.0540 Å, c = 3.0204 Å, α = 90.00°, β = 90.00° and γ = 90.00°. The distinct sites, in fractional coordinates, are Mn at (0.1204, 0.0802, 0.0000), V at (0.0000, 0.0000, 0.5000), V at (0.1251, 0.2471, 0.0000), V at (0.1292, 0.4162, 0.0000), Ru at (0.0000, 0.1725, 0.5000), Ru at (0.0000, 0.3346, 0.5000), Ru at (0.0000, 0.5000, 0.5000), Ru at (0.2408, 0.5000, 0.5000) and Ru at (0.2459, 0.3317, 0.5000).

Its formation energy is -4.90 eV per formula unit. The density of states at the Fermi level is 19.21 states/eV/f.u.

Entry 14:
The following is a DFT calculation (PBE-GGA) of a geometry-optimized TcAsP2I structure.

It has space group P4/mmm (No. 123), with a = 5.0554 Å, b = 5.0554 Å, c = 5.2684 Å, α = 90.00°, β = 90.00° and γ = 90.00°. The distinct sites, in fractional coordinates, are Tc at (0.0000, 0.0000, 0.0000), As at (0.5000, 0.5000, 0.0000), P at (0.0000, 0.5000, 0.5000) and I at (0.5000, 0.5000, 0.5000).

The density of states at the Fermi level is 4.27 states/eV/f.u. The uncorrected formation energy is 2.0349 eV per atom.

Entry 15:
The following is a DFT calculation (PBE-GGA) of a geometry-optimized LaSeBr2 structure.

It has space group Pm (No. 6), with a = 4.7059 Å, b = 4.5378 Å, c = 5.7910 Å, α = 90.00°, β = 106.34° and γ = 90.00°. The distinct sites, in fractional coordinates, are La at (0.0000, 0.0000, 0.0000), Se at (0.4137, 0.5000, 0.8645), Br at (0.2889, 0.5000, 0.3270) and Br at (0.8263, 0.0000, 0.4780).

The calculation puts the relative energy among the computed polymorphs at 80 meV/atom. The density of states at the Fermi level is 0.74 states/eV/f.u. The uncorrected formation energy is -1.3856 eV per atom.

Entry 16:
The following is a DFT calculation (PBE-GGA) of a geometry-optimized Li2PtBr structure.

It has space group Cm (No. 8), with a = 9.9424 Å, b = 3.1364 Å, c = 4.4163 Å, α = 90.00°, β = 101.29° and γ = 90.00°. The distinct sites, in fractional coordinates, are Li at (0.0000, 0.0000, 0.0000), Li at (0.2058, 0.0000, 0.5854), Pt at (0.2351, 0.5000, 0.0861) and Br at (0.4682, 0.0000, 0.5039).

The calculation puts the relative energy among the computed polymorphs at 135 meV/atom. The density of states at the Fermi level is 0.77 states/eV/f.u. The uncorrected formation energy is -0.4960 eV per atom.

Entry 17:
The following is a DFT calculation (PBE-GGA) of a geometry-optimized VZnNi5 structure.

It has space group P4/mmm (No. 123), with a = 4.0628 Å, b = 4.0628 Å, c = 5.2933 Å, α = 90.00°, β = 90.00° and γ = 90.00°. The distinct sites, in fractional coordinates, are V at (0.0000, 0.0000, 0.0000), Zn at (0.5000, 0.5000, 0.5000), Ni at (0.0000, 0.0000, 0.5000) and Ni at (0.0000, 0.5000, 0.2376).

Its formation energy is 0.60 eV per formula unit. The calculation puts the relative energy among the computed polymorphs at 0 meV/atom. The density of states at the Fermi level is 6.21 states/eV/f.u.

Entry 18:
The following is a DFT calculation (PBE-GGA) of a geometry-optimized Fe2NiSb structure.

It has space group P4/mmm (No. 123), with a = 3.6846 Å, b = 3.6846 Å, c = 4.0448 Å, α = 90.00°, β = 90.00° and γ = 90.00°. The distinct sites, in fractional coordinates, are Fe at (0.0000, 0.5000, 0.0000), Ni at (0.0000, 0.0000, 0.5000) and Sb at (0.5000, 0.5000, 0.5000).

The density of states at the Fermi level is 3.12 states/eV/f.u. The uncorrected formation energy is 0.0434 eV per atom.

Entry 19:
The following is a DFT calculation (PBE-GGA) of a geometry-optimized ScCoNiW2 structure.

It has space group P4/mmm (No. 123), with a = 4.6261 Å, b = 4.6261 Å, c = 4.1659 Å, α = 90.00°, β = 90.00° and γ = 90.00°. The distinct sites, in fractional coordinates, are Sc at (0.0000, 0.0000, 0.0000), Co at (0.0000, 0.0000, 0.5000), Ni at (0.5000, 0.5000, 0.5000) and W at (0.0000, 0.5000, 0.0000).

Its formation energy is 11.47 eV per formula unit. The density of states at the Fermi level is 6.28 states/eV/f.u.

Entry 20:
The following is a DFT calculation (PBE-GGA) of a geometry-optimized GeSeN2O structure.

It has space group P4/mmm (No. 123), with a = 3.9196 Å, b = 3.9196 Å, c = 3.6134 Å, α = 90.00°, β = 90.00° and γ = 90.00°. The distinct sites, in fractional coordinates, are Ge at (0.0000, 0.0000, 0.0000), Se at (0.5000, 0.5000, 0.5000), N at (0.0000, 0.5000, 0.0000) and O at (0.0000, 0.0000, 0.5000).

The density of states at the Fermi level is 3.11 states/eV/f.u. The uncorrected formation energy is 0.9496 eV per atom.